## MgReW2 (PBE)

Data for MgReW2 after structural relaxation.

a b c (Å): 2.707 4.494 5.356
angles (deg): 90.00 100.83 90.00
Space group P2/m (No. 10)
Inequivalent atoms, fractional coordinates:
Mg1 0.000 0.000 0.000
Re1 0.500 0.000 0.500
W1 0.273 0.500 0.749

Computed properties:
- formation energy (eV/atom) = 0.27
- E_tot (eV per formula unit) = -38.875

---

## Mg2ReW2 (PBE)

Data for Mg2ReW2 after structural relaxation.

a b c (Å): 3.664 3.664 13.212
angles (deg): 90.00 90.00 90.00
Space group I4/mmm (No. 139)
Inequivalent atoms, fractional coordinates:
Mg1 0.000 0.000 0.091
Re1 0.000 0.000 0.500
W1 0.000 0.500 0.250

Computed properties:
- formation energy (eV/atom) = 1.22
- energy above the most stable polymorph in this dataset (meV per atom) = 149.0
- E_tot (eV per formula unit) = -35.462

---

## MgReW2 (PBE)

Data for MgReW2 after structural relaxation.

a b c (Å): 3.028 3.028 7.309
angles (deg): 90.00 90.00 90.00
Space group P4/mmm (No. 123)
Inequivalent atoms, fractional coordinates:
Mg1 0.000 0.000 0.000
Re1 0.000 0.000 0.500
W1 0.500 0.500 0.277

Computed properties:
- formation energy (eV/atom) = 0.44
- E_tot (eV per formula unit) = -38.189

---

## MgRe3W (PBE)

Data for MgRe3W after structural relaxation.

a b c (Å): 4.770 4.770 4.770
angles (deg): 90.00 90.00 90.00
Space group Pm-3m (No. 221)
Inequivalent atoms, fractional coordinates:
Mg1 0.000 0.000 0.000
Re1 0.000 0.500 0.500
W1 0.500 0.500 0.500

Computed properties:
- formation energy (eV/atom) = 1.99
- energy above the most stable polymorph in this dataset (meV per atom) = 0.0
- E_tot (eV per formula unit) = -41.936

---

## MgReW2 (PBE)

Data for MgReW2 after structural relaxation.

a b c (Å): 3.124 4.515 9.132
angles (deg): 90.00 90.00 90.00
Space group Immm (No. 71)
Inequivalent atoms, fractional coordinates:
Mg1 0.000 0.000 0.000
Re1 0.000 0.000 0.500
W1 0.000 0.500 0.235

Computed properties:
- formation energy (eV/atom) = 0.27
- E_tot (eV per formula unit) = -38.885

---

## MgReW2 (PBE)

Data for MgReW2 after structural relaxation.

a b c (Å): 5.438 8.774 2.709
angles (deg): 90.00 90.00 90.00
Space group Cmmm (No. 65)
Inequivalent atoms, fractional coordinates:
Mg1 0.000 0.000 0.000
Re1 0.000 0.500 0.000
W1 0.250 0.250 0.500

Computed properties:
- formation energy (eV/atom) = 0.44
- E_tot (eV per formula unit) = -38.206

---

## MgReW2 (PBE)

Data for MgReW2 after structural relaxation.

a b c (Å): 5.487 9.088 2.704
angles (deg): 90.00 108.71 90.00
Space group C2/m (No. 12)
Inequivalent atoms, fractional coordinates:
Mg1 0.000 0.000 0.000
Re1 0.000 0.500 0.000
W1 0.250 0.250 0.500

Computed properties:
- formation energy (eV/atom) = 0.30
- E_tot (eV per formula unit) = -38.768

---

## MgReW2 (PBE)

Data for MgReW2 after structural relaxation.

a b c (Å): 2.8519 2.8519 28.2431
angles (deg): 90.00 90.00 120.00
Space group R-3m (No. 166, hexagonal axes)
Inequivalent atoms, fractional coordinates:
Mg1 0.0000 0.0000 0.0000
Re1 0.0000 0.0000 0.5000
W1 0.0000 0.0000 0.2446

Computed properties:
- formation energy (eV/atom) = 0.39
- E_tot (eV per formula unit) = -38.397